VASP calculation (PBE) on a relaxed LaTa2Te crystal.

The structure belongs to space group R-3m (No. 166, hexagonal axes); the cell edges are 3.3668, 3.3668 and 28.6947 Å and the angles 90.00°, 90.00° and 120.00°. The distinct sites, in fractional coordinates, are La at (0.0000, 0.0000, 0.0000), Ta at (0.0000, 0.0000, 0.2400) and Te at (0.0000, 0.0000, 0.5000).

The value obtained for the formation energy from raw total energies is 503 meV per atom.